# La2PrDyH | the Alexandria database | GGA-PBE | relaxed
# V (Å³ per atom): 28.0
# DOS at the Fermi energy (states/eV per atom): 0.75
data_La2PrDyH
_cell_length_a 5.228
_cell_length_b 5.228
_cell_length_c 5.130
_cell_angle_alpha 90.00
_cell_angle_beta 90.00
_cell_angle_gamma 90.00
_space_group_name_H-M_alt 'P 4/m m m'
_space_group_IT_number 123
_space_group_name_Hall '-P 4 2'
loop_
_atom_site_label
_atom_site_fract_x
_atom_site_fract_y
_atom_site_fract_z
La1 0.000 0.500 0.000
Pr1 0.000 0.000 0.500
Dy1 0.500 0.500 0.500
H1 0.500 0.500 0.000

=====

# La2DyH12Rh3 | the Alexandria database | GGA-PBE | relaxed
# V (Å³ per atom): 10.2
# DOS at the Fermi energy (states/eV per atom): 0.39
data_La2DyH12Rh3
_cell_length_a 6.6718
_cell_length_b 6.6718
_cell_length_c 14.3049
_cell_angle_alpha 90.00
_cell_angle_beta 90.00
_cell_angle_gamma 120.00
_space_group_name_H-M_alt 'R -3 m'
_space_group_IT_number 166
_space_group_name_Hall '-R 3 2"'
loop_
_atom_site_label
_atom_site_fract_x
_atom_site_fract_y
_atom_site_fract_z
La1 0.0000 0.0000 0.1152
Dy1 0.0000 0.0000 0.5000
H1 0.0264 0.5132 0.8819
H2 0.0636 0.5318 0.3213
Rh1 0.0000 0.5000 0.0000

=====

# LaSmDy2H | the Alexandria database | GGA-PBE | relaxed
# V (Å³ per atom): 26.2
# DOS at the Fermi energy (states/eV per atom): 0.92
data_LaSmDy2H
_cell_length_a 5.080
_cell_length_b 5.080
_cell_length_c 5.078
_cell_angle_alpha 90.00
_cell_angle_beta 90.00
_cell_angle_gamma 90.00
_space_group_name_H-M_alt 'P 4/m m m'
_space_group_IT_number 123
_space_group_name_Hall '-P 4 2'
loop_
_atom_site_label
_atom_site_fract_x
_atom_site_fract_y
_atom_site_fract_z
La1 0.000 0.000 0.000
Sm1 0.500 0.500 0.000
Dy1 0.000 0.500 0.500
H1 0.500 0.500 0.500

=====

# La2Dy2Sn2H | the Alexandria database | GGA-PBE | relaxed
# V (Å³ per atom): 27.3
# DOS at the Fermi energy (states/eV per atom): 0.90
data_La2Dy2Sn2H
_cell_length_a 4.691
_cell_length_b 4.691
_cell_length_c 17.380
_cell_angle_alpha 90.00
_cell_angle_beta 90.00
_cell_angle_gamma 90.00
_space_group_name_H-M_alt 'I 4/m m m'
_space_group_IT_number 139
_space_group_name_Hall '-I 4 2'
loop_
_atom_site_label
_atom_site_fract_x
_atom_site_fract_y
_atom_site_fract_z
La1 0.000 0.000 0.178
Dy1 0.000 0.500 0.000
Sn1 0.000 0.000 0.372
H1 0.000 0.000 0.000

=====

Calculated values (eV per atom) of final energy for the records, taken in order: -4.70, -4.67, -4.61, -5.01.
Calculated values (μB/atom) of spin magnetization for the records, taken in order: 0.00, 0.04, 0.00, 0.24.